1.
# LaCuPbS3, relaxed, DFT PBE
# - Formation energy from raw total energies: -6.88 eV per formula unit
data_LaCuPbS3
_chemical_formula_sum 'La4 Cu4 Pb4 S12'
_cell_length_a 4.154
_cell_length_b 8.119
_cell_length_c 15.996
_cell_angle_alpha 90.00
_cell_angle_beta 90.00
_cell_angle_gamma 90.00
_space_group_name_H-M_alt 'P 1'
_space_group_IT_number 1
loop_
_space_group_symop_operation_xyz
'x,y,z'
loop_
_atom_site_label
_atom_site_fract_x
_atom_site_fract_y
_atom_site_fract_z
_atom_site_occupancy
La1 0.250 0.250 0.960 1
La2 0.250 0.750 0.540 1
La3 0.750 0.750 0.040 1
La4 0.750 0.250 0.460 1
Cu1 0.250 0.127 0.631 1
Cu2 0.250 0.627 0.869 1
Cu3 0.750 0.873 0.369 1
Cu4 0.750 0.373 0.131 1
Pb1 0.250 0.089 0.222 1
Pb2 0.250 0.589 0.278 1
Pb3 0.750 0.911 0.778 1
Pb4 0.750 0.411 0.722 1
S1 0.250 0.180 0.778 1
S2 0.250 0.680 0.722 1
S3 0.750 0.820 0.222 1
S4 0.750 0.320 0.278 1
S5 0.250 0.378 0.562 1
S6 0.250 0.878 0.938 1
S7 0.750 0.622 0.438 1
S8 0.750 0.122 0.062 1
S9 0.250 0.009 0.402 1
S10 0.250 0.509 0.098 1
S11 0.750 0.991 0.598 1
S12 0.750 0.491 0.902 1

2.
# La2CuSbPb, relaxed, DFT PBE
# - Formation energy from raw total energies: -1.04 eV per formula unit
data_La2CuSbPb
_chemical_formula_sum 'La2 Cu1 Sb1 Pb1'
_cell_length_a 6.095
_cell_length_b 4.729
_cell_length_c 6.095
_cell_angle_alpha 90.00
_cell_angle_beta 90.00
_cell_angle_gamma 90.00
_space_group_name_H-M_alt 'P 1'
_space_group_IT_number 1
loop_
_space_group_symop_operation_xyz
'x,y,z'
loop_
_atom_site_label
_atom_site_fract_x
_atom_site_fract_y
_atom_site_fract_z
_atom_site_occupancy
Pb1 0.500 0.500 0.500 1
Sb1 0.000 0.000 0.000 1
Cu1 0.000 0.500 0.000 1
La1 0.000 0.000 0.500 1
La2 0.500 0.000 0.000 1

3.
# La2CuPbSe5, relaxed, DFT PBE
# - Formation energy from raw total energies: -11.32 eV per formula unit
data_La2CuPbSe5
_chemical_formula_sum 'La4 Cu2 Pb2 Se10'
_cell_length_a 4.135
_cell_length_b 9.204
_cell_length_c 12.628
_cell_angle_alpha 90.00
_cell_angle_beta 90.00
_cell_angle_gamma 102.98
_space_group_name_H-M_alt 'P 1'
_space_group_IT_number 1
loop_
_space_group_symop_operation_xyz
'x,y,z'
loop_
_atom_site_label
_atom_site_fract_x
_atom_site_fract_y
_atom_site_fract_z
_atom_site_occupancy
La1 0.876 0.752 0.848 1
La2 0.111 0.221 0.695 1
La3 0.124 0.248 0.348 1
La4 0.889 0.779 0.195 1
Cu1 0.541 0.082 0.914 1
Cu2 0.459 0.918 0.414 1
Pb1 0.821 0.642 0.538 1
Pb2 0.179 0.358 0.038 1
Se1 0.343 0.686 0.023 1
Se2 0.674 0.348 0.854 1
Se3 0.484 0.969 0.740 1
Se4 0.292 0.584 0.710 1
Se5 0.993 0.986 0.503 1
Se6 0.657 0.314 0.523 1
Se7 0.326 0.652 0.354 1
Se8 0.516 0.031 0.240 1
Se9 0.708 0.416 0.210 1
Se10 0.007 0.014 0.003 1

4.
# LaTaCu2Pb, relaxed, DFT PBE
# - DFT formation energy: 1.7870 eV/atom
data_LaTaCu2Pb
_chemical_formula_sum 'La1 Ta1 Cu2 Pb1'
_cell_length_a 4.876
_cell_length_b 5.854
_cell_length_c 4.876
_cell_angle_alpha 90.00
_cell_angle_beta 90.00
_cell_angle_gamma 90.00
_space_group_name_H-M_alt 'P 1'
_space_group_IT_number 1
loop_
_space_group_symop_operation_xyz
'x,y,z'
loop_
_atom_site_label
_atom_site_fract_x
_atom_site_fract_y
_atom_site_fract_z
_atom_site_occupancy
Pb1 0.000 0.500 0.000 1
La1 0.000 0.000 0.000 1
Cu1 0.000 0.000 0.500 1
Cu2 0.500 0.000 0.000 1
Ta1 0.500 0.500 0.500 1

5.
# LaTbCuPb, relaxed, DFT PBE
# - DFT formation energy: -0.3074 eV/atom
data_LaTbCuPb
_chemical_formula_sum 'La1 Tb1 Cu1 Pb1'
_cell_length_a 5.356
_cell_length_b 5.356
_cell_length_c 5.356
_cell_angle_alpha 60.00
_cell_angle_beta 60.00
_cell_angle_gamma 60.00
_space_group_name_H-M_alt 'P 1'
_space_group_IT_number 1
loop_
_space_group_symop_operation_xyz
'x,y,z'
loop_
_atom_site_label
_atom_site_fract_x
_atom_site_fract_y
_atom_site_fract_z
_atom_site_occupancy
Pb1 0.250 0.250 0.250 1
Tb1 0.500 0.500 0.500 1
Cu1 0.750 0.750 0.750 1
La1 0.000 0.000 0.000 1

6.
# La3CuPd3, relaxed, DFT PBE
# - DFT formation energy: -0.6926 eV/atom
data_La3CuPd3
_chemical_formula_sum 'La6 Cu2 Pd6'
_cell_length_a 4.179
_cell_length_b 5.974
_cell_length_c 14.641
_cell_angle_alpha 86.20
_cell_angle_beta 81.80
_cell_angle_gamma 69.53
_space_group_name_H-M_alt 'P 1'
_space_group_IT_number 1
loop_
_space_group_symop_operation_xyz
'x,y,z'
loop_
_atom_site_label
_atom_site_fract_x
_atom_site_fract_y
_atom_site_fract_z
_atom_site_occupancy
La1 0.553 0.290 0.603 1
La2 0.447 0.710 0.397 1
La3 0.255 0.259 0.232 1
La4 0.745 0.741 0.768 1
La5 0.402 0.275 0.921 1
La6 0.598 0.725 0.079 1
Cu1 0.757 0.103 0.382 1
Cu2 0.243 0.897 0.618 1
Pd1 0.871 0.707 0.551 1
Pd2 0.129 0.293 0.449 1
Pd3 0.126 0.825 0.923 1
Pd4 0.874 0.175 0.077 1
Pd5 0.975 0.818 0.233 1
Pd6 0.025 0.182 0.767 1

7.
# La2Cu3Pd2, relaxed, DFT PBE
# - DFT formation energy: -0.4600 eV/atom
data_La2Cu3Pd2
_chemical_formula_sum 'La2 Cu3 Pd2'
_cell_length_a 4.422
_cell_length_b 5.540
_cell_length_c 6.584
_cell_angle_alpha 108.32
_cell_angle_beta 90.00
_cell_angle_gamma 113.52
_space_group_name_H-M_alt 'P 1'
_space_group_IT_number 1
loop_
_space_group_symop_operation_xyz
'x,y,z'
loop_
_atom_site_label
_atom_site_fract_x
_atom_site_fract_y
_atom_site_fract_z
_atom_site_occupancy
La1 0.846 0.692 0.258 1
La2 0.154 0.308 0.742 1
Cu1 0.500 0.000 0.000 1
Cu2 0.590 0.181 0.407 1
Cu3 0.410 0.819 0.593 1
Pd1 0.870 0.741 0.794 1
Pd2 0.130 0.259 0.206 1

8.
# La4CuPd, relaxed, DFT PBE
# - Energy relative to the lowest polymorph listed for this composition: 0.00 kJ/mol of atoms
# - DFT formation energy: -0.2958 eV/atom
data_La4CuPd
_chemical_formula_sum 'La8 Cu2 Pd2'
_cell_length_a 6.534
_cell_length_b 7.299
_cell_length_c 7.299
_cell_angle_alpha 90.00
_cell_angle_beta 90.00
_cell_angle_gamma 90.00
_space_group_name_H-M_alt 'P 1'
_space_group_IT_number 1
loop_
_space_group_symop_operation_xyz
'x,y,z'
loop_
_atom_site_label
_atom_site_fract_x
_atom_site_fract_y
_atom_site_fract_z
_atom_site_occupancy
La1 0.000 0.174 0.675 1
La2 0.000 0.826 0.325 1
La3 0.000 0.325 0.174 1
La4 0.000 0.675 0.826 1
La5 0.500 0.826 0.675 1
La6 0.500 0.174 0.325 1
La7 0.500 0.675 0.174 1
La8 0.500 0.325 0.826 1
Cu1 0.250 0.500 0.500 1
Cu2 0.750 0.500 0.500 1
Pd1 0.250 0.000 0.000 1
Pd2 0.750 0.000 0.000 1

9.
# La3Cu2Pd3, relaxed, DFT PBE
# - DFT formation energy: -0.6064 eV/atom
data_La3Cu2Pd3
_chemical_formula_sum 'La6 Cu4 Pd6'
_cell_length_a 4.362
_cell_length_b 5.937
_cell_length_c 15.064
_cell_angle_alpha 90.00
_cell_angle_beta 90.00
_cell_angle_gamma 111.55
_space_group_name_H-M_alt 'P 1'
_space_group_IT_number 1
loop_
_space_group_symop_operation_xyz
'x,y,z'
loop_
_atom_site_label
_atom_site_fract_x
_atom_site_fract_y
_atom_site_fract_z
_atom_site_occupancy
La1 0.900 0.801 0.400 1
La2 0.100 0.199 0.900 1
La3 0.900 0.801 0.100 1
La4 0.100 0.199 0.600 1
La5 0.628 0.257 0.250 1
La6 0.372 0.743 0.750 1
Cu1 0.797 0.594 0.895 1
Cu2 0.203 0.406 0.395 1
Cu3 0.797 0.594 0.605 1
Cu4 0.203 0.406 0.105 1
Pd1 0.610 0.220 0.455 1
Pd2 0.390 0.780 0.955 1
Pd3 0.610 0.220 0.045 1
Pd4 0.390 0.780 0.545 1
Pd5 0.342 0.684 0.250 1
Pd6 0.658 0.316 0.750 1

10.
# La2Cu2Pd3, relaxed, DFT PBE
# - DFT formation energy: -0.5756 eV/atom
data_La2Cu2Pd3
_chemical_formula_sum 'La4 Cu4 Pd6'
_cell_length_a 4.151
_cell_length_b 7.324
_cell_length_c 9.769
_cell_angle_alpha 90.00
_cell_angle_beta 102.26
_cell_angle_gamma 90.00
_space_group_name_H-M_alt 'P 1'
_space_group_IT_number 1
loop_
_space_group_symop_operation_xyz
'x,y,z'
loop_
_atom_site_label
_atom_site_fract_x
_atom_site_fract_y
_atom_site_fract_z
_atom_site_occupancy
La1 0.159 0.250 0.319 1
La2 0.841 0.750 0.681 1
La3 0.934 0.250 0.868 1
La4 0.066 0.750 0.132 1
Cu1 0.697 0.946 0.393 1
Cu2 0.303 0.054 0.607 1
Cu3 0.303 0.446 0.607 1
Cu4 0.697 0.554 0.393 1
Pd1 0.223 0.750 0.445 1
Pd2 0.777 0.250 0.555 1
Pd3 0.566 0.439 0.131 1
Pd4 0.434 0.561 0.869 1
Pd5 0.434 0.939 0.869 1
Pd6 0.566 0.061 0.131 1